[1]
# PBE-GGA BeAsP, relaxed
# Energy above the lowest structure with this stoichiometry   140 meV per atom
data_BeAsP
_chemical_formula_sum 'Be1 As1 P1'
_symmetry_space_group_name_H-M 'P 1'
_symmetry_Int_Tables_number 1
_symmetry_space_group_name_Hall 'P 1'
_cell_length_a 2.768
_cell_length_b 2.768
_cell_length_c 7.344
_cell_angle_alpha 90.00
_cell_angle_beta 90.00
_cell_angle_gamma 120.00
loop_
_atom_site_label
_atom_site_fract_x
_atom_site_fract_y
_atom_site_fract_z
Be1 0.000 0.000 0.000
As1 0.333 0.667 0.729
P1 0.667 0.333 0.231



[2]
# PBE-GGA Y5Ge4, relaxed
# E   -6.532 eV/atom
data_Y5Ge4
_chemical_formula_sum 'Y20 Ge16'
_symmetry_space_group_name_H-M 'P 1'
_symmetry_Int_Tables_number 1
_symmetry_space_group_name_Hall 'P 1'
_cell_length_a 7.672
_cell_length_b 14.755
_cell_length_c 7.750
_cell_angle_alpha 90.00
_cell_angle_beta 90.00
_cell_angle_gamma 90.00
loop_
_atom_site_label
_atom_site_fract_x
_atom_site_fract_y
_atom_site_fract_z
Y1 0.030 0.102 0.176
Y2 0.030 0.398 0.176
Y3 0.120 0.617 0.339
Y4 0.120 0.883 0.339
Y5 0.215 0.250 0.502
Y6 0.285 0.750 0.002
Y7 0.380 0.117 0.839
Y8 0.380 0.383 0.839
Y9 0.470 0.602 0.676
Y10 0.470 0.898 0.676
Y11 0.530 0.102 0.324
Y12 0.530 0.398 0.324
Y13 0.620 0.617 0.161
Y14 0.620 0.883 0.161
Y15 0.715 0.250 0.998
Y16 0.785 0.750 0.498
Y17 0.880 0.117 0.661
Y18 0.880 0.383 0.661
Y19 0.970 0.602 0.824
Y20 0.970 0.898 0.824
Ge1 0.083 0.250 0.882
Ge2 0.165 0.750 0.637
Ge3 0.221 0.044 0.531
Ge4 0.221 0.456 0.531
Ge5 0.279 0.544 0.031
Ge6 0.279 0.956 0.031
Ge7 0.335 0.250 0.137
Ge8 0.417 0.750 0.382
Ge9 0.583 0.250 0.618
Ge10 0.665 0.750 0.863
Ge11 0.721 0.044 0.969
Ge12 0.721 0.456 0.969
Ge13 0.779 0.544 0.469
Ge14 0.779 0.956 0.469
Ge15 0.835 0.250 0.363
Ge16 0.917 0.750 0.118



[3]
# PBE-GGA YTlCdIn, relaxed
# Energy above the lowest structure with this stoichiometry   169 meV per atom
data_YTlCdIn
_chemical_formula_sum 'Y1 Tl1 Cd1 In1'
_symmetry_space_group_name_H-M 'P 1'
_symmetry_Int_Tables_number 1
_symmetry_space_group_name_Hall 'P 1'
_cell_length_a 5.274
_cell_length_b 5.274
_cell_length_c 5.274
_cell_angle_alpha 60.00
_cell_angle_beta 60.00
_cell_angle_gamma 60.00
loop_
_atom_site_label
_atom_site_fract_x
_atom_site_fract_y
_atom_site_fract_z
Y1 0.000 0.000 0.000
Tl1 0.250 0.250 0.250
Cd1 0.500 0.500 0.500
In1 0.750 0.750 0.750